Entry 1:
# PBE TbPuBi2, relaxed
# * energy of formation: -0.596 eV/atom
# * raw total energy: -7.28 eV/atom
# * energy above the lowest structure with this stoichiometry: 5 meV per atom
data_TbPuBi2
_cell_length_a 6.384
_cell_length_b 6.384
_cell_length_c 12.773
_cell_angle_alpha 90.00
_cell_angle_beta 90.00
_cell_angle_gamma 90.00
_symmetry_space_group_name_H-M 'I 41/a m d'
_symmetry_Int_Tables_number 141
loop_
_symmetry_equiv_pos_as_xyz
'x,y,z'
'-x,-y,-z'
'-y+1/4,x+3/4,z+1/4'
'y+1/4,-x+3/4,-z+1/4'
'-x+1/2,-y,z+1/2'
'x+1/2,y,-z+1/2'
'y+1/4,-x+1/4,z+3/4'
'-y+1/4,x+1/4,-z+3/4'
'x,-y,-z'
'-x,y,z'
'-y+1/4,-x+1/4,-z+3/4'
'y+1/4,x+1/4,z+3/4'
'-x+1/2,y,-z+1/2'
'x+1/2,-y,z+1/2'
'y+1/4,x+3/4,-z+1/4'
'-y+1/4,-x+3/4,z+1/4'
'x+1/2,y+1/2,z+1/2'
'-x+1/2,-y+1/2,-z+1/2'
'-y+3/4,x+1/4,z+3/4'
'y+3/4,-x+1/4,-z+3/4'
'-x,-y+1/2,z'
'x,y+1/2,-z'
'y+3/4,-x+3/4,z+1/4'
'-y+3/4,x+3/4,-z+1/4'
'x+1/2,-y+1/2,-z+1/2'
'-x+1/2,y+1/2,z+1/2'
'-y+3/4,-x+3/4,-z+1/4'
'y+3/4,x+3/4,z+1/4'
'-x,y+1/2,-z'
'x,-y+1/2,z'
'y+3/4,x+1/4,-z+3/4'
'-y+3/4,-x+1/4,z+3/4'
loop_
_atom_site_label
_atom_site_type_symbol
_atom_site_fract_x
_atom_site_fract_y
_atom_site_fract_z
Tb1 Tb 0.000 0.250 0.375
Pu1 Pu 0.000 0.250 0.875
Bi1 Bi 0.000 0.250 0.125

---

Entry 2:
# PBE N, relaxed
# * ΔE_f (raw): 4.491 eV per atom
# * raw total energy: -3.83 eV/atom
# * energy above the lowest structure with this stoichiometry: 4491 meV per atom
data_N
_cell_length_a 3.119
_cell_length_b 3.119
_cell_length_c 3.119
_cell_angle_alpha 90.00
_cell_angle_beta 90.00
_cell_angle_gamma 90.00
_symmetry_space_group_name_H-M 'F m -3 m'
_symmetry_Int_Tables_number 225
_symmetry_space_group_name_Hall '-F 4 2 3'
loop_
_atom_site_label
_atom_site_type_symbol
_atom_site_fract_x
_atom_site_fract_y
_atom_site_fract_z
N1 N 0.000 0.000 0.000

---

Entry 3:
# PBE NiB, relaxed
# * energy of formation: 0.692 eV/atom
# * raw total energy: -5.54 eV/atom
data_NiB
_cell_length_a 6.094
_cell_length_b 6.094
_cell_length_c 6.094
_cell_angle_alpha 90.00
_cell_angle_beta 90.00
_cell_angle_gamma 90.00
_symmetry_space_group_name_H-M 'I -4 3 m'
_symmetry_Int_Tables_number 217
_symmetry_space_group_name_Hall 'I -4 2 3'
loop_
_atom_site_label
_atom_site_type_symbol
_atom_site_fract_x
_atom_site_fract_y
_atom_site_fract_z
Ni1 Ni 0.147 0.147 0.853
B1 B 0.173 0.173 0.173

---

Entry 4:
# PBE NdCd4Ag, relaxed
# * energy of formation: -0.205 eV/atom
# * raw total energy: -2.08 eV/atom
# * energy above the lowest structure with this stoichiometry: 0 meV per atom
data_NdCd4Ag
_cell_length_a 8.520
_cell_length_b 4.340
_cell_length_c 7.723
_cell_angle_alpha 90.00
_cell_angle_beta 90.00
_cell_angle_gamma 90.00
_symmetry_space_group_name_H-M 'P m m a'
_symmetry_Int_Tables_number 51
loop_
_symmetry_equiv_pos_as_xyz
'x,y,z'
'-x,-y,-z'
'-x+1/2,-y,z'
'x+1/2,y,-z'
'x+1/2,-y,-z'
'-x+1/2,y,z'
'-x,y,-z'
'x,-y,z'
loop_
_atom_site_label
_atom_site_type_symbol
_atom_site_fract_x
_atom_site_fract_y
_atom_site_fract_z
Nd1 Nd 0.250 0.000 0.119
Cd1 Cd 0.000 0.000 0.500
Cd2 Cd 0.048 0.500 0.816
Cd3 Cd 0.250 0.500 0.436
Ag1 Ag 0.250 0.000 0.722

---

Entry 5:
# PBE LiPu2Hg3, relaxed
# * energy of formation: -0.199 eV/atom
# * raw total energy: -5.45 eV/atom
data_LiPu2Hg3
_cell_length_a 3.254
_cell_length_b 3.254
_cell_length_c 12.843
_cell_angle_alpha 90.00
_cell_angle_beta 90.00
_cell_angle_gamma 90.00
_symmetry_space_group_name_H-M 'P 4/m m m'
_symmetry_Int_Tables_number 123
_symmetry_space_group_name_Hall '-P 4 2'
loop_
_atom_site_label
_atom_site_type_symbol
_atom_site_fract_x
_atom_site_fract_y
_atom_site_fract_z
Li1 Li 0.000 0.000 0.000
Pu1 Pu 0.000 0.000 0.315
Hg1 Hg 0.500 0.500 0.131
Hg2 Hg 0.500 0.500 0.500

---

Entry 6:
# PBE LiScAl2, relaxed
# * energy of formation: -0.091 eV/atom
# * raw total energy: -4.02 eV/atom
data_LiScAl2
_cell_length_a 3.394
_cell_length_b 3.394
_cell_length_c 6.322
_cell_angle_alpha 90.00
_cell_angle_beta 90.00
_cell_angle_gamma 90.00
_symmetry_space_group_name_H-M 'P 4 m m'
_symmetry_Int_Tables_number 99
loop_
_symmetry_equiv_pos_as_xyz
'x,y,z'
'-y,x,z'
'-x,-y,z'
'y,-x,z'
'-x,y,z'
'y,x,z'
'x,-y,z'
'-y,-x,z'
loop_
_atom_site_label
_atom_site_type_symbol
_atom_site_fract_x
_atom_site_fract_y
_atom_site_fract_z
Li1 Li 0.000 0.000 0.000
Sc1 Sc 0.500 0.500 0.287
Al1 Al 0.000 0.000 0.552
Al2 Al 0.500 0.500 0.790

---

Entry 7:
# PBE HoErTh2, relaxed
# * energy of formation: 0.044 eV/atom
# * raw total energy: -5.95 eV/atom
# * energy above the lowest structure with this stoichiometry: 13 meV per atom
data_HoErTh2
_cell_length_a 3.549
_cell_length_b 3.549
_cell_length_c 10.043
_cell_angle_alpha 90.00
_cell_angle_beta 90.00
_cell_angle_gamma 90.00
_symmetry_space_group_name_H-M 'P 4/m m m'
_symmetry_Int_Tables_number 123
_symmetry_space_group_name_Hall '-P 4 2'
loop_
_atom_site_label
_atom_site_type_symbol
_atom_site_fract_x
_atom_site_fract_y
_atom_site_fract_z
Ho1 Ho 0.000 0.000 0.000
Er1 Er 0.000 0.000 0.500
Th1 Th 0.500 0.500 0.251

---

Entry 8:
# PBE Na8Tl6Rh, relaxed
# * energy of formation: -0.064 eV/atom
# * raw total energy: -2.20 eV/atom
data_Na8Tl6Rh
_cell_length_a 9.3152
_cell_length_b 9.3152
_cell_length_c 17.4114
_cell_angle_alpha 90.00
_cell_angle_beta 90.00
_cell_angle_gamma 120.00
_symmetry_space_group_name_H-M 'R -3'
_symmetry_Int_Tables_number 148
_symmetry_space_group_name_Hall '-R 3'
loop_
_atom_site_label
_atom_site_type_symbol
_atom_site_fract_x
_atom_site_fract_y
_atom_site_fract_z
Na1 Na 0.0000 0.0000 0.2297
Na2 Na 0.0255 0.7858 0.4128
Tl1 Tl 0.0501 0.7856 0.9107
Rh1 Rh 0.0000 0.0000 0.0000